Entry 1:
PBE Na2AgIrBr6, optimized geometry; symmetry = No. 146; crystal system = trigonal; density = 4.98 g/cm3; total moment = 0.0 μB per formula unit; total energy = -31.803 eV/cell
1.0
3.6100 2.0842 6.1006
-3.6100 2.0842 6.1006
0.0000 -4.1685 6.1006
Na Ag Ir Br
2 1 1 6
direct
0.0000 0.0000 0.0000
0.4817 0.4817 0.4817
0.2044 0.2044 0.2044
0.6886 0.6886 0.6886
0.0319 0.4594 0.8104
0.3367 0.9001 0.5834
0.4594 0.8104 0.0319
0.5834 0.3367 0.9001
0.8104 0.0319 0.4594
0.9001 0.5834 0.3367


Entry 2:
PBE PmMg3Pd2, optimized geometry; symmetry = No. 191; crystal system = hexagonal; density = 5.69 g/cm3; energy relative to the lowest polymorph listed for this composition = 0.0 meV/atom; formation energy = -0.571 eV per atom; total moment = 0.0 μB per formula unit; Fermi-level density of states = 0.343 states/eV/atom; total energy = -70.040 eV/cell
1.0
9.8586 0.0000 0.0000
-4.9293 8.5378 0.0000
0.0000 0.0000 4.4834
Pm Mg Pd
3 9 6
direct
0.0000 0.0000 0.0000
0.3333 0.6667 0.5000
0.6667 0.3333 0.5000
0.0000 0.2990 0.5000
0.0000 0.5000 0.0000
0.0000 0.7010 0.5000
0.2990 0.0000 0.5000
0.2990 0.2990 0.5000
0.5000 0.0000 0.0000
0.5000 0.5000 0.0000
0.7010 0.0000 0.5000
0.7010 0.7010 0.5000
0.1837 0.3675 0.0000
0.1837 0.8163 0.0000
0.3675 0.1837 0.0000
0.6325 0.8163 0.0000
0.8163 0.1837 0.0000
0.8163 0.6325 0.0000


Entry 3:
PBE NiHgW, optimized geometry; symmetry = No. 216; crystal system = cubic; density = 14.32 g/cm3; energy relative to the lowest polymorph listed for this composition = 315.6 meV/atom; formation energy = 0.691 eV per atom; total moment = 0.0 μB per formula unit; Fermi-level density of states = 0.094 states/eV/atom; total energy = -16.962 eV/cell
1.0
0.0000 2.9504 2.9504
2.9504 0.0000 2.9504
2.9504 2.9504 0.0000
Ni Hg W
1 1 1
direct
0.0000 0.0000 0.0000
0.7500 0.7500 0.7500
0.2500 0.2500 0.2500


Entry 4:
PBE LaThIn, optimized geometry; symmetry = No. 129; crystal system = tetragonal; density = 8.25 g/cm3; energy relative to the lowest polymorph listed for this composition = 265.5 meV/atom; formation energy = 0.039 eV per atom; total moment = 0.0 μB per formula unit; Fermi-level density of states = 1.318 states/eV/atom; total energy = -29.940 eV/cell
1.0
4.9497 0.0000 0.0000
0.0000 4.9497 0.0000
0.0000 0.0000 7.9811
La Th In
2 2 2
direct
0.2500 0.2500 0.2174
0.7500 0.7500 0.7826
0.2500 0.2500 0.7770
0.7500 0.7500 0.2230
0.2500 0.7500 0.5000
0.7500 0.2500 0.5000


What is the total energy in the fourth record? -29.940 eV/cell


Which value of density does entry 2 give? 5.69 g/cm3